(1)
# TiMn2RhN, relaxed, DFT PBE-GGA
# uncorrected formation energy: -2.7 eV/f.u.
data_TiMn2RhN
_space_group_name_H-M_alt 'P 1'
_space_group_IT_number 1
_space_group_name_Hall 'P 1'
_cell_length_a 3.8719
_cell_length_b 3.8719
_cell_length_c 4.1104
_cell_angle_alpha 90.00
_cell_angle_beta 90.00
_cell_angle_gamma 90.00
loop_
_atom_site_label
_atom_site_type_symbol
_atom_site_fract_x
_atom_site_fract_y
_atom_site_fract_z
N1 N 0.0000 0.0000 0.0000
Mn1 Mn 0.5000 0.0000 0.0000
Mn2 Mn 0.0000 0.5000 0.0000
Rh1 Rh 0.5000 0.5000 0.5000
Ti1 Ti 0.0000 0.0000 0.5000

***

(2)
# Te2IrW, relaxed, DFT PBE-GGA
# polymorph energy (0 for the lowest one): 503 meV per atom
# uncorrected formation energy: 2.6 eV/f.u.
data_Te2IrW
_space_group_name_H-M_alt 'P 1'
_space_group_IT_number 1
_space_group_name_Hall 'P 1'
_cell_length_a 9.1062
_cell_length_b 9.1062
_cell_length_c 9.1062
_cell_angle_alpha 21.15
_cell_angle_beta 21.15
_cell_angle_gamma 21.15
loop_
_atom_site_label
_atom_site_type_symbol
_atom_site_fract_x
_atom_site_fract_y
_atom_site_fract_z
Te1 Te 0.0947 0.0947 0.0947
Te2 Te 0.9053 0.9053 0.9053
W1 W 0.5000 0.5000 0.5000
Ir1 Ir 0.0000 0.0000 0.0000

***

(3)
# K2RbTl, relaxed, DFT PBE-GGA
# polymorph energy (0 for the lowest one): 10 meV per atom
# ΔH_f (0 K): -0.0083 eV/atom
data_K2RbTl
_space_group_name_H-M_alt 'P 1'
_space_group_IT_number 1
_space_group_name_Hall 'P 1'
_cell_length_a 8.4002
_cell_length_b 11.1580
_cell_length_c 11.7603
_cell_angle_alpha 118.42
_cell_angle_beta 90.00
_cell_angle_gamma 90.00
loop_
_atom_site_label
_atom_site_type_symbol
_atom_site_fract_x
_atom_site_fract_y
_atom_site_fract_z
K1 K 0.7912 0.1586 0.8100
K2 K 0.2912 0.3414 0.1900
K3 K 0.7567 0.0771 0.1472
K4 K 0.2567 0.4229 0.8528
K5 K 0.2433 0.9229 0.8528
K6 K 0.7433 0.5771 0.1472
K7 K 0.7088 0.6586 0.8100
K8 K 0.2088 0.8414 0.1900
Tl1 Tl 0.3642 0.5475 0.5971
Tl2 Tl 0.8642 0.9525 0.4029
Tl3 Tl 0.6358 0.4525 0.4029
Tl4 Tl 0.1358 0.0475 0.5971
Rb1 Rb 0.9964 0.3165 0.5068
Rb2 Rb 0.4964 0.1835 0.4932
Rb3 Rb 0.0036 0.6835 0.4932
Rb4 Rb 0.5036 0.8165 0.5068

***

(4)
# CsNaAc2S4, relaxed, DFT PBE-GGA
# uncorrected formation energy: -14.4 eV/f.u.
data_CsNaAc2S4
_space_group_name_H-M_alt 'P 1'
_space_group_IT_number 1
_space_group_name_Hall 'P 1'
_cell_length_a 4.4975
_cell_length_b 7.7389
_cell_length_c 15.4834
_cell_angle_alpha 90.00
_cell_angle_beta 90.00
_cell_angle_gamma 106.89
loop_
_atom_site_label
_atom_site_type_symbol
_atom_site_fract_x
_atom_site_fract_y
_atom_site_fract_z
S1 S 0.2581 0.5161 0.4012
S2 S 0.7419 0.4839 0.5988
S3 S 0.2581 0.5161 0.0988
S4 S 0.4210 0.8419 0.7500
S5 S 0.0000 0.0000 0.0000
S6 S 0.0000 0.0000 0.5000
S7 S 0.7419 0.4839 0.9012
S8 S 0.5790 0.1581 0.2500
Ac1 Ac 0.3679 0.7359 0.9399
Ac2 Ac 0.6321 0.2641 0.0601
Ac3 Ac 0.3679 0.7359 0.5601
Ac4 Ac 0.6321 0.2641 0.4399
Cs1 Cs 0.8951 0.7903 0.2500
Cs2 Cs 0.1049 0.2097 0.7500
Na1 Na 0.1739 0.3479 0.2500
Na2 Na 0.8261 0.6521 0.7500

***

(5)
# Zr2CuRh, relaxed, DFT PBE-GGA
# ΔH_f (0 K): -0.2157 eV/atom
data_Zr2CuRh
_space_group_name_H-M_alt 'P 1'
_space_group_IT_number 1
_space_group_name_Hall 'P 1'
_cell_length_a 3.3161
_cell_length_b 4.7728
_cell_length_c 5.4774
_cell_angle_alpha 77.61
_cell_angle_beta 72.38
_cell_angle_gamma 69.67
loop_
_atom_site_label
_atom_site_type_symbol
_atom_site_fract_x
_atom_site_fract_y
_atom_site_fract_z
Rh1 Rh 0.4950 0.3011 0.7089
Zr1 Zr 0.8627 0.7476 0.5270
Zr2 Zr 0.7488 0.3758 0.1266
Cu1 Cu 0.1039 0.8374 0.9548

***

(6)
# Nd6RuPb3, relaxed, DFT PBE-GGA
# ΔH_f (0 K): -0.3571 eV/atom
data_Nd6RuPb3
_space_group_name_H-M_alt 'P 1'
_space_group_IT_number 1
_space_group_name_Hall 'P 1'
_cell_length_a 6.2468
_cell_length_b 9.0561
_cell_length_c 11.2564
_cell_angle_alpha 90.00
_cell_angle_beta 88.05
_cell_angle_gamma 90.00
loop_
_atom_site_label
_atom_site_type_symbol
_atom_site_fract_x
_atom_site_fract_y
_atom_site_fract_z
Nd1 Nd 0.0890 0.3040 0.0603
Nd2 Nd 0.8745 0.9572 0.2304
Nd3 Nd 0.5890 0.1960 0.5603
Nd4 Nd 0.3745 0.5428 0.7304
Nd5 Nd 0.3878 0.8453 0.0602
Nd6 Nd 0.1255 0.0428 0.7696
Nd7 Nd 0.6255 0.4572 0.2696
Nd8 Nd 0.4110 0.8040 0.4397
Nd9 Nd 0.9110 0.6960 0.9397
Nd10 Nd 0.6122 0.1547 0.9398
Nd11 Nd 0.1122 0.3453 0.4398
Nd12 Nd 0.8878 0.6547 0.5602
Pb1 Pb 0.5000 0.5000 0.0000
Pb2 Pb 0.0000 0.0000 0.5000
Pb3 Pb 0.5993 0.8810 0.7388
Pb4 Pb 0.9007 0.3810 0.7612
Pb5 Pb 0.4007 0.1190 0.2612
Pb6 Pb 0.0993 0.6190 0.2388
Ru1 Ru 0.5000 0.5000 0.5000
Ru2 Ru 0.0000 0.0000 0.0000

***

Values of magnetic moment, in order: 5.4 0.0 0.0 0.0 0.0 0.0, all in μB/cell.